1.
This record from the Alexandria database describes an optimized crystal structure of Hf2ZrZn4. The functional is PBE.

Size of the total moment, μB/f.u.: 0.0
Energy, Ry per atom: -0.351
DFT formation energy, eV/atom: 0.02
Space group: No. 139
Crystal system: tetragonal
Volume, Å³/cell: 137.0

Cell lengths 4.714, 4.714, 7.007 Å; angles 109.63, 109.63, 89.97 degrees
Element x y z (fractional)
Hf (0.745, 0.745, 0.490)
Zn (0.885, 0.385, 0.769)
Zn (0.615, 0.115, 0.231)
Zn (0.385, 0.885, 0.769)
Zn (0.115, 0.615, 0.231)
Zr (0.000, 0.000, 0.000)
Hf (0.255, 0.255, 0.510)

=====

2.
This record from the Alexandria database describes an optimized crystal structure of Hf3ZrZn4. The functional is PBE.

Size of the total moment, μB/f.u.: 0.0
Energy, Ry per atom: -0.416
DFT formation energy, eV/atom: -0.22
Space group: No. 123
Crystal system: tetragonal
Volume, Å³/cell: 145.3

Cell lengths 3.309, 3.309, 13.276 Å; angles 90.00, 90.00, 90.00 degrees
Element x y z (fractional)
Hf (0.500, 0.500, 0.252)
Zn (0.000, 0.000, 0.376)
Zr (0.500, 0.500, 0.000)
Hf (0.500, 0.500, 0.500)
Zn (0.000, 0.000, 0.624)
Hf (0.500, 0.500, 0.748)
Zn (0.000, 0.000, 0.129)
Zn (0.000, 0.000, 0.871)

=====

3.
This record from the Alexandria database describes an optimized crystal structure of HfZr2Zn4. The functional is PBE.

Size of the total moment, μB/f.u.: 0.0
Energy, Ry per atom: -0.339
DFT formation energy, eV/atom: -0.02
Space group: No. 139
Crystal system: tetragonal
Volume, Å³/cell: 138.2

Cell lengths 4.727, 4.727, 7.028 Å; angles 109.61, 109.65, 90.00 degrees
Element x y z (fractional)
Zn (0.889, 0.389, 0.777)
Zr (0.744, 0.744, 0.488)
Zr (0.256, 0.256, 0.512)
Zn (0.389, 0.888, 0.777)
Zn (0.111, 0.611, 0.223)
Zn (0.611, 0.112, 0.223)
Hf (0.000, 0.000, 0.000)